[1]
Material: SrSiW3
Method: DFT, PBE
State: relaxed

Cell lengths 4.6984, 4.6984, 4.6984 Å; angles 90.00, 90.00, 90.00 degrees
Last column: nearest neighbours and their distance in Å.
Sites, in units of the cell vectors:
1 Sr 0.0000 0.0000 0.0000  12 W 3.32
2 Si 0.5000 0.5000 0.5000  6 W 2.35
3 W 0.0000 0.5000 0.5000  2 Si 2.35
4 W 0.5000 0.0000 0.5000  2 Si 2.35
5 W 0.5000 0.5000 0.0000  2 Si 2.35

Calculated values
Its space-group type is Pm-3m, No. 221. The total energy is -7.871 eV/atom. Its raw formation energy is 1.322 eV/atom. The relative energy among the computed polymorphs comes out at 0 meV per atom.

---

[2]
Material: CuNiSe2
Method: DFT, PBE
State: relaxed

Cell lengths 6.3489, 6.3489, 6.3489 Å; angles 90.00, 90.00, 90.00 degrees
Last column: nearest neighbours and their distance in Å.
Sites, in units of the cell vectors:
1 Cu 0.0000 0.0000 0.0000  4 Se 2.75, 4 Ni 2.75
2 Cu 0.0000 0.5000 0.5000  4 Se 2.75, 4 Ni 2.75
3 Cu 0.5000 0.0000 0.5000  4 Se 2.75, 4 Ni 2.75
4 Cu 0.5000 0.5000 0.0000  4 Se 2.75, 4 Ni 2.75
5 Ni 0.2500 0.2500 0.2500  4 Se 2.75, 4 Cu 2.75
6 Ni 0.2500 0.7500 0.7500  4 Se 2.75, 4 Cu 2.75
7 Ni 0.7500 0.2500 0.7500  4 Se 2.75, 4 Cu 2.75
8 Ni 0.7500 0.7500 0.2500  4 Se 2.75, 4 Cu 2.75
9 Se 0.0000 0.0000 0.5000  4 Se 2.75, 4 Ni 2.75
10 Se 0.0000 0.5000 0.0000  4 Se 2.75, 4 Ni 2.75
11 Se 0.2500 0.2500 0.7500  4 Se 2.75, 4 Cu 2.75
12 Se 0.2500 0.7500 0.2500  4 Se 2.75, 4 Cu 2.75
13 Se 0.5000 0.0000 0.0000  4 Se 2.75, 4 Ni 2.75
14 Se 0.5000 0.5000 0.5000  4 Se 2.75, 4 Ni 2.75
15 Se 0.7500 0.2500 0.2500  4 Se 2.75, 4 Cu 2.75
16 Se 0.7500 0.7500 0.7500  4 Se 2.75, 4 Cu 2.75

Calculated values
Its space-group type is F-43m, No. 216. The total energy is -3.655 eV/atom. Its raw formation energy is 0.557 eV/atom.

---

[3]
Material: ScPdRh
Method: DFT, PBE
State: relaxed

Cell lengths 4.3826, 4.3826, 3.1226 Å; angles 90.00, 90.00, 120.00 degrees
Last column: nearest neighbours and their distance in Å.
Sites, in units of the cell vectors:
1 Sc 0.0000 0.0000 0.0000  6 Pd 2.97, 6 Rh 2.97, 2 Sc 3.12
2 Pd 0.3333 0.6667 0.5000  3 Rh 2.53
3 Rh 0.6667 0.3333 0.5000  3 Pd 2.53

Calculated values
Its space-group type is P-6m2, No. 187. The total energy is -6.816 eV/atom. The formation energy from the elements is -524 meV per atom. The relative energy among the computed polymorphs comes out at 120 meV per atom.